Entry 1:
BaLi2SiPt | Alexandria | PBE | relaxed; excess energy over the best structure of this formula in the dataset = 0.0 meV per atom; SG = P4/mmm, No. 123; uncorrected energy = -3.93 eV per atom; Fermi-level density of states = 2.8 states/eV per cell; raw formation energy = -487 meV/atom; M_tot = 0.0 μB/cell; calculated volume = 114.99 Å³/cell; crystal system = tetragonal
1.0
4.994 0.000 0.000
0.000 4.994 0.000
0.000 0.000 4.611
Ba Li Si Pt
1 2 1 1
Direct
0.000 0.000 0.000 Ba
0.000 0.500 0.500 Li
0.500 0.000 0.500 Li
0.500 0.500 0.000 Si
0.500 0.500 0.500 Pt


Entry 2:
BaLi2SiPt2 | Alexandria | PBE | relaxed; SG = P4/mmm, No. 123; uncorrected energy = -4.39 eV per atom; Fermi-level density of states = 2.4 states/eV per cell; raw formation energy = -512 meV/atom; M_tot = 0.3 μB/cell; calculated volume = 141.46 Å³/cell; crystal system = tetragonal
1.0
4.685 0.000 0.000
0.000 4.685 0.000
0.000 0.000 6.445
Ba Li Si Pt
1 2 1 2
Direct
0.000 0.000 0.000 Ba
0.500 0.500 0.302 Li
0.500 0.500 0.698 Li
0.000 0.000 0.500 Si
0.000 0.500 0.500 Pt
0.500 0.000 0.500 Pt


Entry 3:
Ba2LiSn3Pt4 | Alexandria | PBE | relaxed; SG = P-4m2, No. 115; calculated formation energy = -0.761 eV per atom; uncorrected energy = -4.95 eV per atom; Fermi-level density of states = 5.8 states/eV per cell; M_tot = 0.0 μB/cell; calculated volume = 242.07 Å³/cell; crystal system = tetragonal
1.0
4.695 0.000 0.000
0.000 4.695 0.000
0.000 0.000 10.980
Ba Li Sn Pt
2 1 3 4
Direct
0.000 0.500 0.248 Ba
0.500 0.000 0.752 Ba
0.500 0.500 0.000 Li
0.000 0.000 0.000 Sn
0.000 0.500 0.622 Sn
0.500 0.000 0.378 Sn
0.000 0.000 0.500 Pt
0.000 0.500 0.871 Pt
0.500 0.000 0.129 Pt
0.500 0.500 0.500 Pt


Entry 4:
Ba2LiSn4Pt3 | Alexandria | PBE | relaxed; SG = P-4m2, No. 115; calculated formation energy = -0.739 eV per atom; uncorrected energy = -4.73 eV per atom; Fermi-level density of states = 5.3 states/eV per cell; M_tot = 0.0 μB/cell; calculated volume = 249.45 Å³/cell; crystal system = tetragonal
1.0
4.792 0.000 0.000
0.000 4.792 0.000
0.000 0.000 10.861
Ba Li Sn Pt
2 1 4 3
Direct
0.000 0.500 0.247 Ba
0.500 0.000 0.753 Ba
0.500 0.500 0.000 Li
0.000 0.000 0.500 Sn
0.000 0.500 0.875 Sn
0.500 0.000 0.125 Sn
0.500 0.500 0.500 Sn
0.000 0.000 0.000 Pt
0.000 0.500 0.625 Pt
0.500 0.000 0.375 Pt


Entry 5:
Ba2LiSnPt | Alexandria | PBE | relaxed; SG = P4/mmm, No. 123; calculated formation energy = -0.456 eV per atom; uncorrected energy = -3.62 eV per atom; Fermi-level density of states = 2.6 states/eV per cell; M_tot = 0.0 μB/cell; calculated volume = 180.11 Å³/cell; crystal system = tetragonal
1.0
6.172 0.000 0.000
0.000 6.172 0.000
0.000 0.000 4.729
Ba Li Sn Pt
2 1 1 1
Direct
0.000 0.500 0.000 Ba
0.500 0.000 0.000 Ba
0.000 0.000 0.500 Li
0.500 0.500 0.500 Sn
0.000 0.000 0.000 Pt


Entry 6:
BaSrLi2Pt | Alexandria | PBE | relaxed; SG = P4/mmm, No. 123; calculated formation energy = -0.169 eV per atom; uncorrected energy = -2.86 eV per atom; Fermi-level density of states = 3.0 states/eV per cell; M_tot = 0.0 μB/cell; calculated volume = 160.70 Å³/cell; crystal system = tetragonal
1.0
5.318 0.000 0.000
0.000 5.318 0.000
0.000 0.000 5.683
Ba Sr Li Pt
1 1 2 1
Direct
0.000 0.000 0.000 Ba
0.500 0.500 0.000 Sr
0.000 0.500 0.500 Li
0.500 0.000 0.500 Li
0.500 0.500 0.500 Pt


Entry 7:
BaSr2LiPt | Alexandria | PBE | relaxed; excess energy over the best structure of this formula in the dataset = 119.8 meV per atom; SG = P4/mmm, No. 123; calculated formation energy = -0.254 eV per atom; uncorrected energy = -2.90 eV per atom; Fermi-level density of states = 5.0 states/eV per cell; M_tot = 0.0 μB/cell; calculated volume = 193.90 Å³/cell; crystal system = tetragonal
1.0
5.969 0.000 0.000
0.000 5.969 0.000
0.000 0.000 5.442
Ba Sr Li Pt
1 2 1 1
Direct
0.000 0.000 0.000 Ba
0.000 0.500 0.500 Sr
0.500 0.000 0.500 Sr
0.500 0.500 0.000 Li
0.500 0.500 0.500 Pt


Entry 8:
Ba2SrLiPt | Alexandria | PBE | relaxed; excess energy over the best structure of this formula in the dataset = 0.0 meV per atom; SG = P4/mmm, No. 123; calculated formation energy = -0.362 eV per atom; uncorrected energy = -3.06 eV per atom; Fermi-level density of states = 3.3 states/eV per cell; M_tot = 0.0 μB/cell; calculated volume = 233.89 Å³/cell; crystal system = tetragonal
1.0
6.243 0.000 0.000
0.000 6.243 0.000
0.000 0.000 6.001
Ba Sr Li Pt
2 1 1 1
Direct
0.000 0.500 0.000 Ba
0.500 0.000 0.000 Ba
0.000 0.000 0.500 Sr
0.500 0.500 0.500 Li
0.000 0.000 0.000 Pt


Among the records above, which one has the lowest calculated volume?
BaLi2SiPt


Which formula does entry 5 have?
Ba2LiSnPt


Number 1 is which compound?
BaLi2SiPt